# Pm2Pd2Pt

A relaxed Pm2Pd2Pt crystal (PBE, Alexandria via LeMat-Bulk).

abc: 7.2001 7.2001 7.2001
angles: 36.17 36.17 36.17
Closest atoms and distances in Å follow each position.
Fractional positions:
Pm 0.0918 0.0918 0.0918  3 Pd 2.97, 3 Pt 2.99
Pm 0.9082 0.9082 0.9082  3 Pd 2.97, 3 Pt 2.99
Pd 0.3519 0.3519 0.3519  3 Pd 2.69, 3 Pm 2.97, 1 Pt 2.99
Pd 0.6481 0.6481 0.6481  3 Pd 2.69, 3 Pm 2.97, 1 Pt 2.99
Pt 0.5000 0.5000 0.5000  2 Pd 2.99, 6 Pm 2.99

Results
Formation energy = -0.85 eV/atom
Offset from the most stable computed form = 0.034 eV/atom
SG = R-3m (166)
D(E_F) = 2.98 states/eV/cell
Electronic total energy = -30.20 eV per cell
Magnetization = 0.00 μB/f.u.



# MnTlNi2N

A relaxed MnTlNi2N crystal (PBE, Alexandria via LeMat-Bulk).

abc: 3.9856 3.9856 3.9117
angles: 90.00 90.00 90.00
Closest atoms and distances in Å follow each position.
Fractional positions:
Mn 0.0000 0.0000 0.0000  2 N 1.96
Tl 0.5000 0.5000 0.0000  8 Ni 2.79, 4 Mn 2.82
Ni 0.0000 0.5000 0.5000  2 N 1.99
Ni 0.5000 0.0000 0.5000  2 N 1.99
N 0.0000 0.0000 0.5000  2 Mn 1.96, 4 Ni 1.99

Results
SG = P4/mmm (123)
D(E_F) = 4.07 states/eV/cell
Electronic total energy = -31.13 eV per cell
Magnetization = 2.75 μB/f.u.
E_form (uncorrected) = 0.059 eV per atom



# Na2TaMo

A relaxed Na2TaMo crystal (PBE, Alexandria via LeMat-Bulk).

abc: 4.8402 4.8402 4.8402
angles: 60.00 60.00 60.00
Closest atoms and distances in Å follow each position.
Fractional positions:
Na 0.2500 0.2500 0.2500  4 Ta 2.96, 4 Mo 2.96
Na 0.7500 0.7500 0.7500  4 Ta 2.96, 4 Mo 2.96
Ta 0.0000 0.0000 0.0000  8 Na 2.96
Mo 0.5000 0.5000 0.5000  8 Na 2.96

Results
Formation energy = 1.75 eV/atom
Offset from the most stable computed form = 0.204 eV/atom
SG = Fm-3m (225)
D(E_F) = 4.39 states/eV/cell
Electronic total energy = -18.31 eV per cell
Magnetization = 0.69 μB/f.u.



# ScCrCl

A relaxed ScCrCl crystal (PBE, Alexandria via LeMat-Bulk).

abc: 6.8451 6.8451 6.8451
angles: 152.93 152.93 38.66
Closest atoms and distances in Å follow each position.
Fractional positions:
Sc 0.0000 0.0000 0.0000  4 Cl 2.75, 4 Cr 2.93
Cr 0.6438 0.6438 0.0000  4 Sc 2.93, 4 Cr 3.20
Cl 0.3795 0.3795 0.0000  4 Sc 2.75

Results
Offset from the most stable computed form = 0.094 eV/atom
SG = I4mm (107)
D(E_F) = 1.42 states/eV/cell
Electronic total energy = -18.55 eV per cell
Magnetization = 3.68 μB/f.u.
E_form (uncorrected) = -0.248 eV per atom



# KSi

A relaxed KSi crystal (PBE, Alexandria via LeMat-Bulk).

abc: 7.1388 7.1388 7.5793
angles: 113.72 113.72 30.28
Closest atoms and distances in Å follow each position.
Fractional positions:
K 0.0000 0.0000 0.0000  6 Si 3.35-3.62, 3 K 3.47-3.73
K 0.0088 0.0088 0.5496  5 Si 3.41-3.59, 4 K 3.47-3.73
K 0.7314 0.7314 0.4044  5 Si 3.32-3.46, 1 K 3.51
Si 0.2796 0.2796 0.7938  3 Si 2.39-2.54
Si 0.3309 0.3309 0.1367  3 Si 2.39-2.58
Si 0.7062 0.7062 0.9301  4 Si 2.54-2.58

Results
Offset from the most stable computed form = 0.167 eV/atom
SG = Cm (8)
D(E_F) = 2.40 states/eV/cell
Electronic total energy = -19.00 eV per cell
Magnetization = 0.00 μB/f.u.
E_form (uncorrected) = 0.094 eV per atom



# Gd2HoOs

A relaxed Gd2HoOs crystal (PBE, Alexandria via LeMat-Bulk).

abc: 3.4081 3.4081 9.3504
angles: 90.00 90.00 90.00
Closest atoms and distances in Å follow each position.
Fractional positions:
Gd 0.0000 0.0000 0.1812  4 Os 2.95
Gd 0.0000 0.0000 0.8188  4 Os 2.95
Ho 0.5000 0.5000 0.5000  4 Ho 3.41
Os 0.5000 0.5000 0.0000  8 Gd 2.95

Results
Formation energy = -0.05 eV/atom
Offset from the most stable computed form = 0.000 eV/atom
SG = P4/mmm (123)
D(E_F) = 4.06 states/eV/cell
Electronic total energy = -44.16 eV per cell
Magnetization = 14.18 μB/f.u.



Look up the electronic total energy of the second one.
-31.13 eV per cell